# 1
! PBE SrHf2, optimized geometry; values from VASP
! Space-group type = P6_3/mmc
! Relative energy among the computed polymorphs = 0.36 eV/f.u.
&SYSTEM
  ibrav = 0, nat = 6, ntyp = 2
/
ATOMIC_SPECIES
Sr 87.62 Sr.upf
Hf 178.49 Hf.upf
CELL_PARAMETERS angstrom
3.334 0.000 0.000
-1.667 2.888 0.000
0.000 0.000 17.174
ATOMIC_POSITIONS angstrom
Sr 0.000 0.000 4.293
Sr 0.000 0.000 12.880
Hf 0.000 1.925 1.169
Hf 0.000 1.925 7.418
Hf 1.667 0.963 9.756
Hf 1.667 0.963 16.004

---

# 2
! PBE SrHf, optimized geometry; values from VASP
! Space-group type = F-43m
! Relative energy among the computed polymorphs = 3.91 eV/f.u.
&SYSTEM
  ibrav = 0, nat = 8, ntyp = 2
/
ATOMIC_SPECIES
Sr 87.62 Sr.upf
Hf 178.49 Hf.upf
CELL_PARAMETERS angstrom
7.025 0.000 0.000
0.000 7.025 0.000
0.000 0.000 7.025
ATOMIC_POSITIONS angstrom
Sr 0.000 0.000 0.000
Sr 0.000 3.512 3.512
Sr 3.512 0.000 3.512
Sr 3.512 3.512 0.000
Hf 1.756 1.756 1.756
Hf 1.756 5.269 5.269
Hf 5.269 1.756 5.269
Hf 5.269 5.269 1.756

---

# 3
! PBE SrHf, optimized geometry; values from VASP
! Space-group type = P-6m2
! Relative energy among the computed polymorphs = 0.00 eV/f.u.
&SYSTEM
  ibrav = 0, nat = 2, ntyp = 2
/
ATOMIC_SPECIES
Sr 87.62 Sr.upf
Hf 178.49 Hf.upf
CELL_PARAMETERS angstrom
3.422 0.000 0.000
-1.711 2.964 0.000
0.000 0.000 5.938
ATOMIC_POSITIONS angstrom
Sr 0.000 0.000 0.000
Hf 0.000 1.976 2.969

---

# 4
! PBE Sr2Hf, optimized geometry; values from VASP
! Space-group type = Fd-3m
&SYSTEM
  ibrav = 0, nat = 6, ntyp = 2
/
ATOMIC_SPECIES
Sr 87.62 Sr.upf
Hf 178.49 Hf.upf
CELL_PARAMETERS angstrom
0.000 4.836 4.836
4.836 0.000 4.836
4.836 4.836 0.000
ATOMIC_POSITIONS angstrom
Sr 0.000 0.000 0.000
Sr 2.418 2.418 0.000
Sr 2.418 0.000 2.418
Sr 0.000 2.418 2.418
Hf 3.627 3.627 3.627
Hf 6.045 6.045 6.045

---

# 5
! PBE SrHf2, optimized geometry; values from VASP
! Space-group type = Fd-3m
! Relative energy among the computed polymorphs = 0.86 eV/f.u.
&SYSTEM
  ibrav = 0, nat = 6, ntyp = 2
/
ATOMIC_SPECIES
Sr 87.62 Sr.upf
Hf 178.49 Hf.upf
CELL_PARAMETERS angstrom
0.000 4.458 4.458
4.458 0.000 4.458
4.458 4.458 0.000
ATOMIC_POSITIONS angstrom
Sr 1.115 1.115 1.115
Sr 7.802 7.802 7.802
Hf 4.458 2.229 2.229
Hf 2.229 4.458 2.229
Hf 2.229 2.229 4.458
Hf 4.458 4.458 4.458

---

# 6
! PBE SrHf, optimized geometry; values from VASP
! Space-group type = Fm-3m
! Relative energy among the computed polymorphs = 1.91 eV/f.u.
&SYSTEM
  ibrav = 0, nat = 8, ntyp = 2
/
ATOMIC_SPECIES
Sr 87.62 Sr.upf
Hf 178.49 Hf.upf
CELL_PARAMETERS angstrom
6.628 0.000 0.000
0.000 6.628 0.000
0.000 0.000 6.628
ATOMIC_POSITIONS angstrom
Sr 0.000 0.000 0.000
Sr 0.000 3.314 3.314
Sr 3.314 0.000 3.314
Sr 3.314 3.314 0.000
Hf 0.000 0.000 3.314
Hf 0.000 3.314 0.000
Hf 3.314 0.000 0.000
Hf 3.314 3.314 3.314

---

no.,E_tot (eV per atom),size of the total moment (Bohr magnetons per cell)
1,-6.740,0.01
2,-3.122,1.67
3,-5.079,0.25
4,-3.269,5.28
5,-6.574,2.93
6,-4.126,7.01